Entry 1:
# Mg2ZrCd

An optimized crystal structure of Mg2ZrCd (PBE, Alexandria via LeMat-Bulk).

The value obtained for the total energy is -3.23 eV per atom. The value obtained for the calculated volume is 87.4 Å³/f.u.

It has space group P4mm (No. 99), with a = 3.221 Å, b = 3.221 Å, c = 8.420 Å, α = 90.00°, β = 90.00° and γ = 90.00°. The distinct sites, in fractional coordinates, are Mg at (0.000, 0.000, 0.000), Mg at (0.500, 0.500, 0.255), Zr at (0.000, 0.000, 0.513) and Cd at (0.500, 0.500, 0.766).

=====

Entry 2:
# CaSc2Ti2

An optimized crystal structure of CaSc2Ti2 (PBE, Alexandria via LeMat-Bulk).

The value obtained for the total energy is -5.88 eV per atom. The value obtained for the calculated volume is 118.4 Å³/f.u.

It has space group P4/mbm (No. 127), with a = 8.494 Å, b = 8.494 Å, c = 3.282 Å, α = 90.00°, β = 90.00° and γ = 90.00°. The distinct sites, in fractional coordinates, are Ca at (0.000, 0.000, 0.000), Sc at (0.176, 0.324, 0.500) and Ti at (0.111, 0.611, 0.000).

=====

Entry 3:
# Tm4P3S

An optimized crystal structure of Tm4P3S (PBE, Alexandria via LeMat-Bulk).

The value obtained for the calculated volume is 170.6 Å³/f.u. The value obtained for the uncorrected formation energy is -1742 meV/atom.

It has space group Pm-3m (No. 221), with a = 5.547 Å, b = 5.547 Å, c = 5.547 Å, α = 90.00°, β = 90.00° and γ = 90.00°. The distinct sites, in fractional coordinates, are Tm at (0.000, 0.000, 0.000), Tm at (0.000, 0.500, 0.500), P at (0.000, 0.000, 0.500) and S at (0.500, 0.500, 0.500).

=====

Entry 4:
# Zn2CdIr

An optimized crystal structure of Zn2CdIr (PBE, Alexandria via LeMat-Bulk).

The value obtained for the total energy is -3.08 eV per atom. The value obtained for the calculated volume is 63.1 Å³/f.u.

It has space group Pm (No. 6), with a = 2.900 Å, b = 4.201 Å, c = 5.372 Å, α = 90.00°, β = 105.37° and γ = 90.00°. The distinct sites, in fractional coordinates, are Zn at (0.000, 0.000, 0.000), Zn at (0.136, 0.500, 0.274), Cd at (0.749, 0.000, 0.504) and Ir at (0.411, 0.500, 0.823).

=====

Entry 5:
# RbAuBr2

An optimized crystal structure of RbAuBr2 (PBE, Alexandria via LeMat-Bulk).

The value obtained for the calculated volume is 207.8 Å³/f.u. The value obtained for the uncorrected formation energy is -944 meV/atom.

It has space group R-3m (No. 166, hexagonal axes), with a = 5.6439 Å, b = 5.6439 Å, c = 22.5968 Å, α = 90.00°, β = 90.00° and γ = 120.00°. The distinct sites, in fractional coordinates, are Rb at (0.0000, 0.0000, 0.0000), Au at (0.0000, 0.0000, 0.5000) and Br at (0.0000, 0.0000, 0.3928).

=====

Entry 6:
# Sm2Er3TmS6

An optimized crystal structure of Sm2Er3TmS6 (PBE, Alexandria via LeMat-Bulk).

The value obtained for the calculated volume is 253.5 Å³/f.u. The value obtained for the uncorrected formation energy is -1973 meV/atom.

It has space group C2/m (No. 12), with a = 17.034 Å, b = 3.893 Å, c = 7.866 Å, α = 90.00°, β = 103.58° and γ = 90.00°. The distinct sites, in fractional coordinates, are Sm at (0.168, 0.000, 0.336), Er at (0.000, 0.500, 0.500), Er at (0.169, 0.000, 0.833), Tm at (0.000, 0.500, 0.000), S at (0.004, 0.000, 0.754), S at (0.163, 0.500, 0.591) and S at (0.165, 0.500, 0.073).

=====

Entry 7:
# Cs2TmSiO4

An optimized crystal structure of Cs2TmSiO4 (PBE, Alexandria via LeMat-Bulk).

The value obtained for the calculated volume is 226.3 Å³/f.u. The value obtained for the uncorrected formation energy is -2251 meV/atom.

It has space group Fddd (No. 70, origin choice 2), with a = 5.588 Å, b = 13.092 Å, c = 24.750 Å, α = 90.00°, β = 90.00° and γ = 90.00°. The distinct sites, in fractional coordinates, are Cs at (0.125, 0.125, 0.303), Tm at (0.125, 0.125, 0.125), Si at (0.125, 0.125, 0.625) and O at (0.065, 0.302, 0.840).

=====

Entry 8:
# Ba6AsP2

An optimized crystal structure of Ba6AsP2 (PBE, Alexandria via LeMat-Bulk).

The value obtained for the total energy is -3.85 eV per atom. The value obtained for the calculated volume is 464.3 Å³/f.u.

It has space group C2/m (No. 12), with a = 21.077 Å, b = 4.704 Å, c = 9.740 Å, α = 90.00°, β = 105.95° and γ = 90.00°. The distinct sites, in fractional coordinates, are Ba at (0.009, 0.000, 0.235), Ba at (0.161, 0.500, 0.108), Ba at (0.175, 0.500, 0.562), As at (0.000, 0.500, 0.000) and P at (0.167, 0.000, 0.335).